Material: Tb2LuOs
Method: DFT, PBE
State: optimized geometry

a b c (Å): 3.4346 3.4346 10.9216
angles (deg): 80.95 80.95 60.00
Last column: nearest neighbours and their distance in Å.
Positions (direct):
1 Tb 0.8958 0.8958 0.3125  3 Os 2.83
2 Tb 0.1042 0.1042 0.6875  3 Os 2.83
3 Os 0.5000 0.5000 0.5000  6 Tb 2.83
4 Lu 0.0000 0.0000 0.0000  2 Tb 3.36, 6 Lu 3.43

spin magnetization: 0.00 μB per formula unit
uncorrected energy: -5.958 eV/atom
crystal system: trigonal
energy relative to the lowest polymorph listed for this composition: 350 meV/atom
V: 27.4 Å³/atom